HgSbRh3 | meta-GGA SCAN | single point on PBEsol structure

a b c (Å): 4.823 4.823 4.823
angles (deg): 90.00 90.00 90.00
Sites, in units of the cell vectors:
Sb1 0.500 0.500 0.500
Rh1 0.000 0.500 0.000
Rh2 0.000 0.000 0.500
Rh3 0.500 0.000 0.000
Hg1 0.000 0.000 0.000

The calculation puts the calculated volume at 112.2 Å³ per cell. The formation energy from raw total energies comes out at 1.509 eV/atom. Its calculated density is 9.3 g/cm3. Its size of the total moment is 3.076 μB/cell.

HgSb2Rh | meta-GGA SCAN | single point on PBEsol structure

a b c (Å): 3.687 4.311 5.651
angles (deg): 106.64 90.00 90.00
Sites, in units of the cell vectors:
Hg1 0.500 0.500 0.000
Rh1 0.000 0.000 0.500
Sb1 0.000 0.000 0.000
Sb2 0.500 0.500 0.500

The calculation puts the calculated volume at 86.1 Å³ per cell. The formation energy from raw total energies comes out at 0.128 eV/atom. Its calculated density is 10.6 g/cm3. Its size of the total moment is 0.000 μB/cell.

HgSb2Rh | meta-GGA SCAN | single point on PBEsol structure

a b c (Å): 3.163 3.163 8.506
angles (deg): 90.00 90.00 90.00
Sites, in units of the cell vectors:
Hg1 0.000 0.000 0.543
Rh1 0.500 0.500 0.761
Sb1 0.000 0.000 0.937
Sb2 0.500 0.500 0.260

The calculation puts the calculated volume at 85.1 Å³ per cell. The formation energy from raw total energies comes out at 0.023 eV/atom. Its calculated density is 10.7 g/cm3. Its size of the total moment is 0.000 μB/cell.

HgSbRh2Se | meta-GGA SCAN | single point on PBEsol structure

a b c (Å): 4.836 4.836 5.224
angles (deg): 90.00 90.00 90.00
Sites, in units of the cell vectors:
Sb1 0.000 0.000 0.000
Rh1 0.000 0.500 0.000
Rh2 0.500 0.000 0.000
Hg1 0.000 0.000 0.500
Se1 0.500 0.500 0.500

The calculation puts the calculated volume at 122.2 Å³ per cell. The formation energy from raw total energies comes out at 0.949 eV/atom. Its calculated density is 8.2 g/cm3. Its size of the total moment is 1.690 μB/cell.

Sc2HgRh | meta-GGA SCAN | single point on PBEsol structure

a b c (Å): 3.638 3.638 5.926
angles (deg): 90.00 90.00 90.00
Sites, in units of the cell vectors:
Hg1 0.000 0.000 0.476
Rh1 0.500 0.500 0.819
Sc1 0.000 0.000 0.940
Sc2 0.500 0.500 0.265

The calculation puts the calculated volume at 78.4 Å³ per cell. Its formation energy is -0.5830 eV/atom. Its calculated density is 8.3 g/cm3. Its size of the total moment is 0.000 μB/cell.

Sc4HgRh | meta-GGA SCAN | single point on PBEsol structure

a b c (Å): 5.467 5.467 5.467
angles (deg): 60.00 60.00 60.00
Sites, in units of the cell vectors:
Hg1 0.750 0.750 0.750
Rh1 0.000 0.000 0.000
Sc1 0.374 0.374 0.374
Sc2 0.374 0.374 0.879
Sc3 0.879 0.374 0.374
Sc4 0.374 0.879 0.374

The calculation puts the calculated volume at 115.6 Å³ per cell. Its formation energy is 0.1625 eV/atom. Its calculated density is 6.9 g/cm3. Its size of the total moment is 0.000 μB/cell.

What is the calculated density in the fifth record? 8.3 g/cm3